Entry 1:
VASP calculation (GGA-PBE) on a geometry-optimized AuSe2Br structure.

magnetic moment = 0.000 μB/f.u.
total energy = -2.718 eV per atom
mass density = 7.72 g cm⁻³

Unit cell a=8.3183 b=8.3183 c=6.4735 alpha=50.02 beta=50.02 gamma=90.00
Element x y z (fractional)
1 Se 0.3750 0.3174 0.7500
2 Se 0.0674 0.6250 0.2500
3 Se 0.8750 0.9326 0.7500
4 Se 0.6826 0.1250 0.2500
5 Au 0.7500 0.2500 0.5000
6 Au 0.0000 0.0000 0.0000
7 Br 0.5000 0.5000 0.0000
8 Br 0.2500 0.7500 0.5000

Entry 2:
VASP calculation (GGA-PBE) on a geometry-optimized Pm4GaPd2 structure.

formation energy from the elements = -0.542 eV/atom
magnetic moment = 0.000 μB/f.u.
total energy = -5.173 eV per atom
mass density = 7.71 g cm⁻³

Unit cell a=7.8436 b=7.8436 c=7.8436 alpha=108.80 beta=110.82 gamma=108.80
Element x y z (fractional)
1 Pm 0.9988 0.6193 0.7448
2 Pm 0.1256 0.3807 0.3795
3 Pm 0.6244 0.7539 0.5052
4 Pm 0.6205 0.7461 0.0012
5 Pm 0.4948 0.1193 0.2488
6 Pm 0.2552 0.2539 0.8744
7 Pm 0.7512 0.2461 0.8705
8 Pm 0.1295 0.8807 0.3756
9 Ga 0.7500 0.5000 0.2500
10 Ga 0.0000 0.0000 0.0000
11 Pd 0.4962 0.3712 0.6250
12 Pd 0.3750 0.8712 0.7462
13 Pd 0.8750 0.1288 0.5038
14 Pd 0.2538 0.6288 0.1250

Entry 3:
VASP calculation (GGA-PBE) on a geometry-optimized Zn2HgPt structure.

formation energy from the elements = -0.133 eV/atom
magnetic moment = 0.000 μB/f.u.
total energy = -2.355 eV per atom
mass density = 13.36 g cm⁻³

Unit cell a=4.2419 b=4.2422 c=3.6362 alpha=90.00 beta=90.00 gamma=90.00
Element x y z (fractional)
1 Zn 0.0000 0.0000 0.0000
2 Zn 0.5000 0.5000 0.0000
3 Pt 0.0000 0.5000 0.5000
4 Hg 0.5000 0.0000 0.5000

Entry 4:
VASP calculation (GGA-PBE) on a geometry-optimized BiPb2Cl structure.

offset from the most stable computed form = 26 meV/atom
magnetic moment = 0.000 μB/f.u.
total energy = -3.611 eV per atom
mass density = 7.77 g cm⁻³

Unit cell a=4.6111 b=4.6111 c=8.0998 alpha=73.46 beta=73.46 gamma=60.00
Element x y z (fractional)
1 Pb 0.2616 0.2616 0.2153
2 Pb 0.0857 0.0857 0.7430
3 Cl 0.4844 0.4844 0.5467
4 Bi 0.6683 0.6683 0.9950

Entry 5:
VASP calculation (GGA-PBE) on a geometry-optimized NaLiCrBr6 structure.

magnetic moment = 1.942 μB/f.u.
total energy = -3.501 eV per atom
mass density = 3.72 g cm⁻³

Unit cell a=6.3153 b=6.7664 c=6.7664 alpha=120.00 beta=90.00 gamma=90.00
Each line ends with the local moment (μB).
Element x y z (fractional)
1 Br 0.2730 0.9808 0.6897  -0.10
2 Br 0.7270 0.7089 0.6897  -0.10
3 Br 0.7270 0.3103 0.0192  -0.10
4 Br 0.7270 0.9808 0.2911  -0.10
5 Br 0.2730 0.7089 0.0192  -0.10
6 Br 0.2730 0.3103 0.2911  -0.10
7 Cr 0.5000 0.0000 0.0000  2.48
8 Na 0.0000 0.3333 0.6667  0.00
9 Li 0.5000 0.6667 0.3333  0.01

Entry 6:
VASP calculation (GGA-PBE) on a geometry-optimized Cs3Np2O7 structure.

offset from the most stable computed form = 0 meV/atom
magnetic moment = 3.000 μB/f.u.
total energy = -7.748 eV per atom
mass density = 7.03 g cm⁻³

Unit cell a=4.3840 b=4.3840 c=12.4920 alpha=100.11 beta=100.11 gamma=90.00
Each line ends with the local moment (μB).
Element x y z (fractional)
1 O 0.8293 0.8293 0.6586  -0.08
2 O 0.5915 0.0915 0.1831  -0.08
3 O 0.1707 0.1707 0.3414  -0.08
4 O 0.0915 0.5915 0.1831  -0.08
5 O 0.9085 0.4085 0.8169  -0.08
6 O 0.4085 0.9085 0.8169  -0.08
7 O 0.0000 0.0000 0.0000  -0.08
8 Cs 0.3106 0.3106 0.6213  0.00
9 Cs 0.6894 0.6894 0.3787  0.00
10 Cs 0.5000 0.5000 0.0000  0.01
11 Np 0.0902 0.0902 0.1804  1.77
12 Np 0.9098 0.9098 0.8196  1.77

Entry 7:
VASP calculation (GGA-PBE) on a geometry-optimized ReWAu2 structure.

offset from the most stable computed form = 212 meV/atom
formation energy from the elements = 0.510 eV/atom
magnetic moment = 0.000 μB/f.u.
total energy = -7.479 eV per atom
mass density = 19.32 g cm⁻³

Unit cell a=5.1443 b=5.1443 c=5.1443 alpha=135.62 beta=135.63 gamma=64.56
Element x y z (fractional)
1 Au 0.5000 0.5000 0.0000
2 Au 0.0000 0.0000 0.0000
3 W 0.2500 0.7500 0.5000
4 Re 0.7500 0.2500 0.5000

Entry 8:
VASP calculation (GGA-PBE) on a geometry-optimized K2Tl structure.

offset from the most stable computed form = 0 meV/atom
formation energy from the elements = -0.064 eV/atom
magnetic moment = 0.000 μB/f.u.
total energy = -1.584 eV per atom
mass density = 3.27 g cm⁻³

Unit cell a=7.3579 b=7.3579 c=7.3579 alpha=101.93 beta=101.93 gamma=125.92
Element x y z (fractional)
1 K 0.8329 0.3329 0.1658
2 K 0.6671 0.8329 0.5000
3 K 0.3329 0.1671 0.5000
4 K 0.1671 0.6671 0.8342
5 Tl 0.2500 0.2500 0.0000
6 Tl 0.7500 0.7500 0.0000

Entry 9:
VASP calculation (GGA-PBE) on a geometry-optimized YZr2Ti structure.

offset from the most stable computed form = 422 meV/atom
formation energy from the elements = 0.551 eV/atom
magnetic moment = 1.516 μB/f.u.
total energy = -7.313 eV per atom
mass density = 5.46 g cm⁻³

Unit cell a=7.9600 b=7.9600 c=6.4075 alpha=51.60 beta=51.60 gamma=90.00
Each line ends with the local moment (μB).
Element x y z (fractional)
1 Zr 0.3750 0.4033 0.7500  0.14
2 Zr 0.5967 0.1250 0.2500  0.13
3 Zr 0.8750 0.8467 0.7500  0.14
4 Zr 0.1533 0.6250 0.2500  0.13
5 Ti 0.2500 0.7500 0.5000  0.96
6 Ti 0.5000 0.5000 0.0000  0.96
7 Y 0.7500 0.2500 0.5000  0.02
8 Y 0.0000 0.0000 0.0000  0.02

Entry 10:
VASP calculation (GGA-PBE) on a geometry-optimized Nd2Th4Pb3N2 structure.

magnetic moment = 0.000 μB/f.u.
total energy = -6.849 eV per atom
mass density = 9.89 g cm⁻³

Unit cell a=4.8422 b=4.8422 c=13.8020 alpha=100.10 beta=100.10 gamma=90.00
Element x y z (fractional)
1 Nd 0.6962 0.6962 0.3924
2 Nd 0.3038 0.3038 0.6076
3 Pb 0.0000 0.0000 0.0000
4 Pb 0.8212 0.8212 0.6424
5 Pb 0.1788 0.1788 0.3576
6 N 0.6009 0.6009 0.2018
7 N 0.3991 0.3991 0.7982
8 Th 0.5844 0.0844 0.1687
9 Th 0.0844 0.5844 0.1687
10 Th 0.4156 0.9156 0.8313
11 Th 0.9156 0.4156 0.8313

Entry 11:
VASP calculation (GGA-PBE) on a geometry-optimized FeNi8B2 structure.

formation energy from the elements = -0.124 eV/atom
magnetic moment = 4.202 μB/f.u.
total energy = -6.312 eV per atom
mass density = 8.13 g cm⁻³

Unit cell a=3.8860 b=5.6544 c=5.6544 alpha=111.59 beta=98.15 gamma=98.15
Each line ends with the local moment (μB).
Element x y z (fractional)
1 Ni 0.9137 0.6720 0.9323  0.17
2 Ni 0.9137 0.9323 0.6720  0.17
3 Ni 0.5000 0.2523 0.7477  0.19
4 Ni 0.0863 0.0677 0.3280  0.17
5 Ni 0.3004 0.6099 0.6099  0.23
6 Ni 0.5000 0.7477 0.2523  0.19
7 Ni 0.6996 0.3901 0.3901  0.23
8 Ni 0.0863 0.3280 0.0677  0.17
9 B 0.0000 0.3174 0.6826  -0.03
10 B 0.0000 0.6826 0.3174  -0.03
11 Fe 0.5000 0.0000 0.0000  2.87

Entry 12:
VASP calculation (GGA-PBE) on a geometry-optimized Sm4Te2OsCl structure.

magnetic moment = 0.000 μB/f.u.
total energy = -5.828 eV per atom
mass density = 7.78 g cm⁻³

Unit cell a=4.2116 b=7.6662 c=7.4925 alpha=72.66 beta=90.00 gamma=90.00
Element x y z (fractional)
1 Sm 0.0000 0.7244 0.7297
2 Sm 0.0000 0.2756 0.2703
3 Sm 0.5000 0.2905 0.7151
4 Sm 0.5000 0.7095 0.2849
5 Te 0.5000 0.0000 0.5000
6 Te 0.0000 0.0000 0.0000
7 Cl 0.5000 0.5000 0.0000
8 Os 0.0000 0.5000 0.5000